[1]
Computed, not measured: TiTlNO2 after structural relaxation at the PBE-GGA level of DFT.

```
TiTlNO2
1.0
-0.4595 -2.9324 2.4134
-1.8456 -1.9523 -2.7235
3.7592 -1.6891 -1.3366
O N Tl Ti
2 1 1 1
Cartesian
-0.2298 -1.4662 1.2067 O
-0.9228 -0.9761 -1.3617 O
1.8796 -0.8446 -0.6683 N
0.7271 -3.2869 -0.8233 Tl
0.0000 0.0000 0.0000 Ti
```

Output
- DOS(E_F): 3.04 states/eV per cell
- SG: P4/mmm (123)
- V: 12.681 A^3/atom

[2]
Computed, not measured: TiTlN2O after structural relaxation at the PBE-GGA level of DFT.

```
TiTlN2O
1.0
-0.8644 -0.3659 3.9962
1.9069 -3.6343 0.0797
3.2980 1.7496 0.8736
Ti N Tl O
1 2 1 1
Cartesian
0.0000 0.0000 0.0000 Ti
-0.4322 -0.1830 1.9981 N
0.9534 -1.8171 0.0398 N
2.1702 -1.1253 2.4747 Tl
1.6490 0.8748 0.4368 O
```

Output
- DOS(E_F): 3.93 states/eV per cell
- SG: P4/mmm (123)
- V: 12.922 A^3/atom

[3]
Computed, not measured: TiTlN2O after structural relaxation at the PBE-GGA level of DFT.

```
TiTlN2O
1.0
-0.7776 4.1008 0.4214
-1.2909 -0.6494 3.9383
3.8275 0.5869 1.3514
N Ti Tl O
2 1 1 1
Cartesian
-0.3888 2.0504 0.2107 N
-0.6455 -0.3247 1.9692 N
0.8795 2.0191 2.8555 Ti
0.0000 0.0000 0.0000 Tl
1.9138 0.2934 0.6757 O
```

Output
- DOS(E_F): 3.51 states/eV per cell
- SG: P4/mmm (123)
- V: 14.436 A^3/atom

[4]
Computed, not measured: TiTlNO2 after structural relaxation at the PBE-GGA level of DFT.

```
TiTlNO2
1.0
4.1997 0.0000 0.0000
0.0000 4.1997 0.0000
0.0000 0.0000 4.1964
Tl O N Ti
1 2 1 1
Cartesian
0.0000 0.0000 0.0000 Tl
2.0998 0.0000 0.0000 O
0.0000 2.0998 0.0000 O
0.0000 0.0000 2.0982 N
2.0998 2.0998 2.0982 Ti
```

Output
- DOS(E_F): 3.06 states/eV per cell
- SG: P4/mmm (123)
- V: 14.802 A^3/atom

no.,electronic total energy (eV per atom)
1,-6.78
2,-6.57
3,-5.01
4,-5.11